Ga2CoGe: optimized geometry, GGA-PBE.

a b c (Å): 3.3476 8.3924 4.6026
angles (deg): 90.00 111.23 90.00
Positions (direct):
1 Ga 0.1387 0.0459 0.2782
2 Ga 0.1387 0.4541 0.2782
3 Ga 0.8613 0.5459 0.7218
4 Ga 0.8613 0.9541 0.7218
5 Co 0.2749 0.7500 0.5473
6 Co 0.7251 0.2500 0.4527
7 Ge 0.4352 0.2500 0.8722
8 Ge 0.5648 0.7500 0.1278

* uncorrected energy: -36.393 eV for the cell shown
* energy of formation: -10 kJ/mol of atoms
* space-group type: P2_1/m